# TbPmPuHg

A relaxed structure of TbPmPuHg (PBE, the Alexandria database).

Cell lengths 5.397, 5.397, 5.397 Å; angles 60.00, 60.00, 60.00 degrees
Atoms (fractional coordinates):
Tb 0.000 0.000 0.000
Pm 0.750 0.750 0.750
Pu 0.500 0.500 0.500
Hg 0.250 0.250 0.250

Summary:
Formation enthalpy at 0 K, eV/atom: 0.07
Crystal system: cubic



# AcLa5Nd

A relaxed structure of AcLa5Nd (PBE, the Alexandria database).

Cell lengths 7.151, 7.151, 12.812 Å; angles 109.15, 109.15, 61.94 degrees
Atoms (fractional coordinates):
Ac 0.027 0.973 0.750
Ac 0.973 0.027 0.250
La 0.150 0.409 0.744
La 0.207 0.634 0.496
La 0.366 0.793 0.004
La 0.409 0.150 0.244
La 0.419 0.581 0.250
La 0.581 0.419 0.750
La 0.591 0.850 0.756
La 0.634 0.207 0.996
La 0.793 0.366 0.504
La 0.850 0.591 0.256
Nd 0.000 0.500 0.000
Nd 0.500 0.000 0.500

Summary:
Formation enthalpy at 0 K, eV/atom: 0.14
Crystal system: monoclinic
Relative energy among the computed polymorphs, eV/atom: 0.0697



# La6PrYHo2

A relaxed structure of La6PrYHo2 (PBE, the Alexandria database).

Cell lengths 6.741, 6.741, 8.988 Å; angles 101.34, 101.34, 65.08 degrees
Atoms (fractional coordinates):
La 0.100 0.541 0.199
La 0.136 0.136 0.435
La 0.459 0.900 0.801
La 0.541 0.100 0.199
La 0.864 0.864 0.565
La 0.900 0.459 0.801
Pr 0.000 0.000 0.000
Y 0.500 0.500 0.500
Ho 0.409 0.409 0.836
Ho 0.591 0.591 0.164

Summary:
Formation enthalpy at 0 K, eV/atom: 0.19
Crystal system: monoclinic



# NaNdCu2F8

A relaxed structure of NaNdCu2F8 (PBE, the Alexandria database).

Cell lengths 6.617, 6.617, 6.617 Å; angles 130.25, 130.25, 73.01 degrees
Atoms (fractional coordinates):
Na 0.000 0.000 0.000
Nd 0.750 0.250 0.500
Cu 0.250 0.750 0.500
Cu 0.500 0.500 0.000
F 0.016 0.653 0.058
F 0.042 0.984 0.637
F 0.145 0.300 0.569
F 0.347 0.405 0.363
F 0.424 0.855 0.155
F 0.595 0.958 0.942
F 0.700 0.269 0.845
F 0.731 0.576 0.431

Summary:
Crystal system: tetragonal
Raw formation energy, meV/atom: -2543



# Ac2PbCl

A relaxed structure of Ac2PbCl (PBE, the Alexandria database).

Cell lengths 3.957, 3.957, 8.372 Å; angles 90.00, 90.00, 90.00 degrees
Atoms (fractional coordinates):
Ac 0.000 0.000 0.248
Ac 0.000 0.000 0.752
Pb 0.500 0.500 0.000
Cl 0.500 0.500 0.500

Summary:
Crystal system: tetragonal
Relative energy among the computed polymorphs, eV/atom: 0.1738
Raw formation energy, meV/atom: -860



# ZnCd2Co

A relaxed structure of ZnCd2Co (PBE, the Alexandria database).

Cell lengths 2.919, 4.338, 5.509 Å; angles 90.00, 105.04, 90.00 degrees
Atoms (fractional coordinates):
Zn 0.000 0.000 0.000
Cd 0.280 0.000 0.554
Cd 0.615 0.500 0.230
Co 0.886 0.500 0.766

Summary:
Formation enthalpy at 0 K, eV/atom: 0.19
Crystal system: monoclinic



# LaPrCuSe4

A relaxed structure of LaPrCuSe4 (PBE, the Alexandria database).

Cell lengths 7.202, 5.956, 8.470 Å; angles 90.00, 107.12, 90.00 degrees
Atoms (fractional coordinates):
La 0.237 0.250 0.435
La 0.763 0.750 0.565
Pr 0.233 0.250 0.931
Pr 0.767 0.750 0.069
Cu 0.240 0.750 0.686
Cu 0.760 0.250 0.314
Se 0.073 0.750 0.894
Se 0.079 0.750 0.394
Se 0.489 0.509 0.241
Se 0.489 0.991 0.241
Se 0.511 0.009 0.759
Se 0.511 0.491 0.759
Se 0.921 0.250 0.606
Se 0.927 0.250 0.106

Summary:
Crystal system: monoclinic
Raw formation energy, meV/atom: -1450



# Al8Ga5Ag

A relaxed structure of Al8Ga5Ag (PBE, the Alexandria database).

Cell lengths 7.004, 7.004, 7.004 Å; angles 104.99, 104.99, 118.86 degrees
Atoms (fractional coordinates):
Al 0.100 0.432 0.046
Al 0.387 0.054 0.954
Al 0.437 0.148 0.399
Al 0.568 0.613 0.667
Al 0.749 0.038 0.601
Al 0.852 0.251 0.289
Al 0.946 0.900 0.333
Al 0.962 0.563 0.711
Ga 0.000 0.000 0.000
Ga 0.249 0.258 0.728
Ga 0.479 0.751 0.009
Ga 0.530 0.521 0.272
Ga 0.742 0.470 0.991
Ag 0.250 0.750 0.500

Summary:
Formation enthalpy at 0 K, eV/atom: 0.09
Crystal system: tetragonal



# MnCo2ReAu

A relaxed structure of MnCo2ReAu (PBE, the Alexandria database).

Cell lengths 4.612, 4.612, 4.704 Å; angles 90.00, 90.00, 90.00 degrees
Atoms (fractional coordinates):
Mn 0.000 0.000 0.000
Co 0.000 0.500 0.500
Co 0.500 0.000 0.500
Re 0.500 0.500 0.000
Au 0.000 0.000 0.500

Summary:
Formation enthalpy at 0 K, eV/atom: 2.05
Crystal system: tetragonal



# Nd2Al3Tc

A relaxed structure of Nd2Al3Tc (PBE, the Alexandria database).

Cell lengths 5.668, 5.668, 8.999 Å; angles 90.00, 90.00, 120.00 degrees
Atoms (fractional coordinates):
Nd 0.333 0.667 0.051
Nd 0.333 0.667 0.449
Nd 0.667 0.333 0.551
Nd 0.667 0.333 0.949
Al 0.159 0.319 0.750
Al 0.159 0.841 0.750
Al 0.319 0.159 0.250
Al 0.681 0.841 0.750
Al 0.841 0.159 0.250
Al 0.841 0.681 0.250
Tc 0.000 0.000 0.000
Tc 0.000 0.000 0.500

Summary:
Formation enthalpy at 0 K, eV/atom: -0.43
Crystal system: hexagonal
Relative energy among the computed polymorphs, eV/atom: 0.0000



# HoTmP

A relaxed structure of HoTmP (PBE, the Alexandria database).

Cell lengths 3.860, 3.860, 6.259 Å; angles 90.00, 90.00, 120.00 degrees
Atoms (fractional coordinates):
Ho 0.000 0.000 0.000
Tm 0.667 0.333 0.497
P 0.333 0.667 0.746

Summary:
Formation enthalpy at 0 K, eV/atom: -0.96
Crystal system: trigonal
Relative energy among the computed polymorphs, eV/atom: 0.0000



# Pr3Ho5Tm4

A relaxed structure of Pr3Ho5Tm4 (PBE, the Alexandria database).

Cell lengths 6.164, 7.113, 8.714 Å; angles 89.95, 89.87, 89.87 degrees
Atoms (fractional coordinates):
Pr 0.000 0.000 0.000
Pr 0.166 0.251 0.335
Pr 0.834 0.749 0.665
Ho 0.000 0.500 0.000
Ho 0.336 0.000 0.667
Ho 0.498 0.748 0.000
Ho 0.502 0.252 0.000
Ho 0.664 0.000 0.333
Tm 0.170 0.748 0.334
Tm 0.334 0.500 0.667
Tm 0.666 0.500 0.333
Tm 0.830 0.252 0.666

Summary:
Formation enthalpy at 0 K, eV/atom: 0.02
Crystal system: triclinic
Relative energy among the computed polymorphs, eV/atom: 0.0000



Copy entry 2 word for word.
# AcLa5Nd

A relaxed structure of AcLa5Nd (PBE, the Alexandria database).

Cell lengths 7.151, 7.151, 12.812 Å; angles 109.15, 109.15, 61.94 degrees
Atoms (fractional coordinates):
Ac 0.027 0.973 0.750
Ac 0.973 0.027 0.250
La 0.150 0.409 0.744
La 0.207 0.634 0.496
La 0.366 0.793 0.004
La 0.409 0.150 0.244
La 0.419 0.581 0.250
La 0.581 0.419 0.750
La 0.591 0.850 0.756
La 0.634 0.207 0.996
La 0.793 0.366 0.504
La 0.850 0.591 0.256
Nd 0.000 0.500 0.000
Nd 0.500 0.000 0.500

Summary:
Formation enthalpy at 0 K, eV/atom: 0.14
Crystal system: monoclinic
Relative energy among the computed polymorphs, eV/atom: 0.0697